# CaCBr2Cl

An optimized crystal structure of CaCBr2Cl (PBE, Alexandria).

Cell lengths 4.8055, 4.8055, 4.6644 Å; angles 90.00, 90.00, 90.00 degrees
Atoms (fractional coordinates):
Ca (0.0000, 0.0000, 0.0000)
C (0.5000, 0.5000, 0.5000)
Br (0.0000, 0.5000, 0.5000)
Br (0.5000, 0.0000, 0.5000)
Cl (0.5000, 0.5000, 0.0000)

Calculated values
V: 107.7 Å³/f.u.
Uncorrected formation energy: 0.04 eV/atom
Crystal system: tetragonal
Space group: P4/mmm

# DyHo3Tl5

An optimized crystal structure of DyHo3Tl5 (PBE, Alexandria).

Cell lengths 9.3213, 9.3213, 6.5666 Å; angles 90.00, 90.00, 120.00 degrees
Atoms (fractional coordinates):
Dy (0.0000, 0.0000, 0.0000)
Dy (0.0000, 0.0000, 0.5000)
Ho (0.0000, 0.3683, 0.2500)
Ho (0.0000, 0.6317, 0.7500)
Ho (0.3683, 0.0000, 0.2500)
Ho (0.3683, 0.3683, 0.7500)
Ho (0.6317, 0.0000, 0.7500)
Ho (0.6317, 0.6317, 0.2500)
Tl (0.0000, 0.2997, 0.7500)
Tl (0.0000, 0.7003, 0.2500)
Tl (0.2997, 0.0000, 0.7500)
Tl (0.2997, 0.2997, 0.2500)
Tl (0.3333, 0.6667, 0.0000)
Tl (0.3333, 0.6667, 0.5000)
Tl (0.6667, 0.3333, 0.0000)
Tl (0.6667, 0.3333, 0.5000)
Tl (0.7003, 0.0000, 0.2500)
Tl (0.7003, 0.7003, 0.7500)

Calculated values
E_form: -0.281 eV per atom
V: 247.1 Å³/f.u.
Crystal system: hexagonal
Space group: P6_3/mcm

# LaAgCl2

An optimized crystal structure of LaAgCl2 (PBE, Alexandria).

Cell lengths 8.9163, 8.9163, 8.9163 Å; angles 26.03, 26.03, 26.03 degrees
Atoms (fractional coordinates):
La (0.0000, 0.0000, 0.0000)
Ag (0.5000, 0.5000, 0.5000)
Cl (0.1076, 0.1076, 0.1076)
Cl (0.8924, 0.8924, 0.8924)

Calculated values
V: 120.2 Å³/f.u.
Uncorrected formation energy: -0.83 eV/atom
Crystal system: trigonal
Distance to the lowest polymorph of the same formula: 46.07 kJ per mole of atoms
Space group: R-3m

# Rb3Ba2NbO6

An optimized crystal structure of Rb3Ba2NbO6 (PBE, Alexandria).

Cell lengths 6.5181, 6.5181, 6.8225 Å; angles 99.09, 99.09, 120.16 degrees
Atoms (fractional coordinates):
Rb (0.0000, 0.0000, 0.0000)
Rb (0.3416, 0.6584, 0.0000)
Rb (0.6584, 0.3416, 0.0000)
Ba (0.1672, 0.8328, 0.5000)
Ba (0.8328, 0.1672, 0.5000)
Nb (0.5000, 0.5000, 0.5000)
O (0.1775, 0.4393, 0.3179)
O (0.2964, 0.2964, 0.6813)
O (0.4393, 0.1775, 0.3179)
O (0.5607, 0.8225, 0.6821)
O (0.7036, 0.7036, 0.3187)
O (0.8225, 0.5607, 0.6821)

Calculated values
V: 237.7 Å³/f.u.
Uncorrected formation energy: -2.17 eV/atom
Crystal system: monoclinic
Space group: C2/m

# B3AsIr

An optimized crystal structure of B3AsIr (PBE, Alexandria).

Cell lengths 4.0227, 4.0227, 4.0227 Å; angles 90.00, 90.00, 90.00 degrees
Atoms (fractional coordinates):
B (0.0000, 0.0000, 0.5000)
B (0.0000, 0.5000, 0.0000)
B (0.5000, 0.0000, 0.0000)
As (0.0000, 0.0000, 0.0000)
Ir (0.5000, 0.5000, 0.5000)

Calculated values
E_form: 2.099 eV per atom
V: 65.1 Å³/f.u.
Crystal system: cubic
Distance to the lowest polymorph of the same formula: 84.96 kJ per mole of atoms
Space group: Pm-3m

# Pr5ErMg

An optimized crystal structure of Pr5ErMg (PBE, Alexandria).

Cell lengths 6.5462, 6.5462, 12.0830 Å; angles 103.99, 103.99, 95.55 degrees
Atoms (fractional coordinates):
Pr (0.0174, 0.3970, 0.8432)
Pr (0.1351, 0.8649, 0.7500)
Pr (0.2281, 0.5404, 0.4636)
Pr (0.3970, 0.0174, 0.3432)
Pr (0.4596, 0.7719, 0.0364)
Pr (0.5404, 0.2281, 0.9636)
Pr (0.6030, 0.9826, 0.6568)
Pr (0.7719, 0.4596, 0.5364)
Pr (0.8649, 0.1351, 0.2500)
Pr (0.9826, 0.6030, 0.1568)
Er (0.4915, 0.5085, 0.7500)
Er (0.5085, 0.4915, 0.2500)
Mg (0.0000, 0.0000, 0.0000)
Mg (0.0000, 0.0000, 0.5000)

Calculated values
E_form: 0.104 eV per atom
V: 240.4 Å³/f.u.
Crystal system: monoclinic
Space group: C2/c